Computed, not measured: a crystal of TcNiRh2 relaxed with PBEsol at the meta-GGA SCAN level of DFT.

a = 8.6330 Å, b = 8.6330 Å, c = 8.6330 Å
α = 17.68°, β = 17.68°, γ = 17.68°
With the nearest neighbours (Å) after each atom.
Sites, in units of the cell vectors:
Tc  0.0000  0.0000  0.0000  6 Rh 2.65, 6 Tc 2.65
Ni  0.5000  0.5000  0.5000  6 Rh 2.59, 6 Ni 2.65
Rh  0.2487  0.2487  0.2487  3 Ni 2.59, 3 Tc 2.65, 6 Rh 2.65
Rh  0.7513  0.7513  0.7513  3 Ni 2.59, 3 Tc 2.65, 6 Rh 2.65

Values from the calculation:
magnetic moment = 0.205 μB/atom
polymorph energy (0 for the lowest one) = 0.051 eV per atom